#P
The following is a DFT calculation (GGA-PBE) of crystalline AgTe3Os at its relaxed geometry. Values from VASP.

Structure (Quantum ESPRESSO input):
```
&SYSTEM
  ibrav = 0, nat = 5, ntyp = 3
/
ATOMIC_SPECIES
Te 127.60 Te.upf
Os 190.23 Os.upf
Ag 107.87 Ag.upf
CELL_PARAMETERS angstrom
5.225 0.000 0.000
0.000 5.225 0.000
0.000 0.000 5.225
ATOMIC_POSITIONS crystal
Te 0.000 0.500 0.000
Te 0.000 0.000 0.500
Te 0.500 0.000 0.000
Os 0.500 0.500 0.500
Ag 0.000 0.000 0.000
```

**Symmetry**: Pm-3m
**Total magnetization**: 0.00 μB per cell

#Q
The following is a DFT calculation (GGA-PBE) of crystalline AgTe3Os at its relaxed geometry. Values from VASP.

Structure (Quantum ESPRESSO input):
```
&SYSTEM
  ibrav = 0, nat = 5, ntyp = 3
/
ATOMIC_SPECIES
Te 127.60 Te.upf
Os 190.23 Os.upf
Ag 107.87 Ag.upf
CELL_PARAMETERS angstrom
5.269 0.000 0.000
0.000 5.269 0.000
0.000 0.000 5.269
ATOMIC_POSITIONS crystal
Te 0.000 0.500 0.000
Te 0.000 0.000 0.500
Te 0.500 0.000 0.000
Os 0.000 0.000 0.000
Ag 0.500 0.500 0.500
```

**Symmetry**: Pm-3m
**Total magnetization**: 0.00 μB per cell

Energy ordering: #Q at the bottom, the next structure 89.5 kJ/mol of atoms above.

#P
The following is a DFT calculation (GGA-PBE) of crystalline TiAgOs3 at its relaxed geometry. Values from VASP.

Structure (Quantum ESPRESSO input):
```
&SYSTEM
  ibrav = 0, nat = 5, ntyp = 3
/
ATOMIC_SPECIES
Os 190.23 Os.upf
Ag 107.87 Ag.upf
Ti 47.87 Ti.upf
CELL_PARAMETERS angstrom
-2.556 3.939 0.162
-2.675 -1.591 -3.519
-2.896 -2.007 3.108
ATOMIC_POSITIONS crystal
Os 0.000 0.500 0.000
Os 0.000 0.000 0.500
Os 0.500 0.000 0.000
Ag 0.000 0.000 0.000
Ti 0.500 0.500 0.500
```

**Symmetry**: Pm-3m
**Total magnetization**: 0.80 μB per cell

#Q
The following is a DFT calculation (GGA-PBE) of crystalline TiAgOs3 at its relaxed geometry. Values from VASP.

Structure (Quantum ESPRESSO input):
```
&SYSTEM
  ibrav = 0, nat = 5, ntyp = 3
/
ATOMIC_SPECIES
Os 190.23 Os.upf
Ag 107.87 Ag.upf
Ti 47.87 Ti.upf
CELL_PARAMETERS angstrom
-2.543 -1.142 3.610
1.420 -4.319 -0.366
3.510 0.920 2.763
ATOMIC_POSITIONS crystal
Os 0.000 0.500 0.000
Os 0.000 0.000 0.500
Os 0.500 0.000 0.000
Ag 0.500 0.500 0.500
Ti 0.000 0.000 0.000
```

**Symmetry**: Pm-3m
**Total magnetization**: 1.74 μB per cell

Energy ordering: #Q at the bottom, the next structure 89.5 kJ/mol of atoms above.

#P
The following is a DFT calculation (GGA-PBE) of crystalline TlAgOs at its relaxed geometry. Values from VASP.

Structure (Quantum ESPRESSO input):
```
&SYSTEM
  ibrav = 0, nat = 3, ntyp = 3
/
ATOMIC_SPECIES
Tl 204.38 Tl.upf
Os 190.23 Os.upf
Ag 107.87 Ag.upf
CELL_PARAMETERS angstrom
-0.923 -4.386 2.550
2.932 -4.138 -0.930
-0.285 4.891 1.607
ATOMIC_POSITIONS crystal
Tl 0.670 0.670 0.000
Os 0.336 0.336 0.000
Ag 0.994 0.994 0.000
```

**Symmetry**: Imm2
**Total magnetization**: 0.00 μB per cell

#Q
The following is a DFT calculation (GGA-PBE) of crystalline TlAgOs at its relaxed geometry. Values from VASP.

Structure (Quantum ESPRESSO input):
```
&SYSTEM
  ibrav = 0, nat = 3, ntyp = 3
/
ATOMIC_SPECIES
Tl 204.38 Tl.upf
Os 190.23 Os.upf
Ag 107.87 Ag.upf
CELL_PARAMETERS angstrom
7.174 0.001 0.000
6.014 3.911 0.000
-6.594 -1.956 2.039
ATOMIC_POSITIONS crystal
Tl 0.675 0.675 0.000
Os 0.338 0.338 0.000
Ag 0.987 0.987 0.000
```

**Symmetry**: I4mm
**Total magnetization**: 0.52 μB per cell

Energy ordering: #Q at the bottom, the next structure 2.5 kJ/mol of atoms above.

#P
The following is a DFT calculation (GGA-PBE) of crystalline Tm2AgOs at its relaxed geometry. Values from VASP.

Structure (Quantum ESPRESSO input):
```
&SYSTEM
  ibrav = 0, nat = 4, ntyp = 3
/
ATOMIC_SPECIES
Tm 168.93 Tm.upf
Os 190.23 Os.upf
Ag 107.87 Ag.upf
CELL_PARAMETERS angstrom
-3.105 -0.871 0.967
-0.336 -1.880 -2.773
2.797 -5.906 3.666
ATOMIC_POSITIONS crystal
Tm 0.000 0.000 0.780
Tm 0.000 0.000 0.220
Os 0.500 0.500 0.000
Ag 0.500 0.500 0.500
```

**Symmetry**: P4/mmm
**Total magnetization**: 0.00 μB per cell

#Q
The following is a DFT calculation (GGA-PBE) of crystalline Tm2AgOs at its relaxed geometry. Values from VASP.

Structure (Quantum ESPRESSO input):
```
&SYSTEM
  ibrav = 0, nat = 4, ntyp = 3
/
ATOMIC_SPECIES
Tm 168.93 Tm.upf
Os 190.23 Os.upf
Ag 107.87 Ag.upf
CELL_PARAMETERS angstrom
-3.146 -1.349 0.136
-0.404 -3.401 0.082
-0.878 -1.407 8.870
ATOMIC_POSITIONS crystal
Tm 0.758 0.758 0.726
Tm 0.242 0.242 0.274
Os 0.500 0.500 0.500
Ag 0.000 0.000 0.000
```

**Symmetry**: R-3m
**Total magnetization**: 0.00 μB per cell

Energy ordering: #P at the bottom, the next structure 38.9 kJ/mol of atoms above.

#P
The following is a DFT calculation (GGA-PBE) of crystalline Tm8Ag2Os at its relaxed geometry. Values from VASP.

Structure (Quantum ESPRESSO input):
```
&SYSTEM
  ibrav = 0, nat = 11, ntyp = 3
/
ATOMIC_SPECIES
Tm 168.93 Tm.upf
Ag 107.87 Ag.upf
Os 190.23 Os.upf
CELL_PARAMETERS angstrom
5.128 0.000 0.000
0.000 6.795 0.069
-2.564 -2.830 8.086
ATOMIC_POSITIONS crystal
Tm 0.409 0.571 0.817
Tm 0.661 0.965 0.321
Tm 0.802 0.698 0.605
Tm 0.973 0.203 0.945
Tm 0.198 0.302 0.395
Tm 0.339 0.035 0.679
Tm 0.591 0.429 0.183
Tm 0.027 0.797 0.055
Ag 0.818 0.293 0.635
Ag 0.182 0.707 0.365
Os 0.500 0.000 0.000
```

**Symmetry**: C2/m
**Total magnetization**: 0.00 μB per cell

#Q
The following is a DFT calculation (GGA-PBE) of crystalline Tm8Ag2Os at its relaxed geometry. Values from VASP.

Structure (Quantum ESPRESSO input):
```
&SYSTEM
  ibrav = 0, nat = 11, ntyp = 3
/
ATOMIC_SPECIES
Tm 168.93 Tm.upf
Ag 107.87 Ag.upf
Os 190.23 Os.upf
CELL_PARAMETERS angstrom
5.905 -0.374 -1.278
-2.592 6.965 -4.188
-0.391 -1.348 8.414
ATOMIC_POSITIONS crystal
Tm 0.652 0.383 0.148
Tm 0.652 0.148 0.383
Tm 0.136 0.285 0.285
Tm 0.997 0.190 0.813
Tm 0.997 0.813 0.190
Tm 0.752 0.716 0.716
Tm 0.283 0.846 0.619
Tm 0.283 0.619 0.846
Ag 0.494 0.723 0.304
Ag 0.494 0.304 0.723
Os 0.260 0.006 0.006
```

**Symmetry**: Cm
**Total magnetization**: 0.00 μB per cell

Energy ordering: #P at the bottom, the next structure 8.4 kJ/mol of atoms above.